No. 1
## SrCd2Au2 (GGA-PBE)

Data for a relaxed structure of SrCd2Au2.

The calculation puts the energy above the most stable polymorph in this dataset at 0.257 eV/atom. The calculation puts the theoretical density at 8.8 g/cm3. Its uncorrected energy is -2.258 eV/atom.

It has space group Ibam (No. 72), with a = 7.813 Å, b = 10.168 Å, c = 6.732 Å, α = 90.00°, β = 90.00° and γ = 90.00°. The distinct sites, in fractional coordinates, are Sr at (0.000, 0.000, 0.250), Cd at (0.126, 0.390, 0.000) and Au at (0.225, 0.346, 0.500).

***

No. 2
## CuAg4 (GGA-PBE)

Data for a relaxed structure of CuAg4.

The calculation puts the energy above the most stable polymorph in this dataset at 0.035 eV/atom. The calculation puts the theoretical density at 9.8 g/cm3. The formation energy from the elements comes out at 0.060 eV per atom. Its uncorrected energy is -2.943 eV/atom.

It has space group P2_1/m (No. 11), with a = 4.959 Å, b = 2.902 Å, c = 11.773 Å, α = 90.00°, β = 96.88° and γ = 90.00°. The distinct sites, in fractional coordinates, are Cu at (0.149, 0.250, 0.199), Ag at (0.051, 0.750, 0.394), Ag at (0.245, 0.750, 0.007), Ag at (0.347, 0.250, 0.804) and Ag at (0.452, 0.750, 0.603).

***

No. 3
## YCoBMo (GGA-PBE)

Data for a relaxed structure of YCoBMo.

The calculation puts the energy above the most stable polymorph in this dataset at 0.000 eV/atom. The calculation puts the theoretical density at 7.5 g/cm3. The magnetization is 3.212 μB per cell. Its uncorrected energy is -6.931 eV/atom.

It has space group F-43m (No. 216), with a = 6.079 Å, b = 6.079 Å, c = 6.079 Å, α = 90.00°, β = 90.00° and γ = 90.00°. The distinct sites, in fractional coordinates, are Y at (0.000, 0.000, 0.000), Co at (0.250, 0.250, 0.750), B at (0.000, 0.000, 0.500) and Mo at (0.250, 0.250, 0.250).